A plane-wave DFT calculation with SCAN was carried out for a PBEsol-optimized structure of BaSc2Mn.

a = 3.3764 Å, b = 4.7856 Å, c = 6.9935 Å
α = 90.00°, β = 103.88°, γ = 90.00°
With the nearest neighbours (Å) after each atom.
Sites, in units of the cell vectors:
Ba 0.0000 0.0000 0.0000  2 Ba 3.38, 3 Sc 3.55-3.66, 4 Mn 3.56
Sc 0.3098 0.5000 0.6237  2 Mn 2.78
Sc 0.7282 0.0000 0.4606  2 Mn 2.63
Mn 0.6487 0.5000 0.2982  4 Sc 2.63-2.78

## Properties
Energy of formation from the pure elements   0.290 eV/atom
SG   Pm (6)